[1]
The following is a GGA-PBE calculation of a relaxed VGaFe4 crystal, from the Alexandria database.

Properties
- total magnetization (μB/cell) = 7.0
- distance to the lowest polymorph of the same formula (meV per atom) = 0
- E_tot (eV/atom) = -7.787
- SG = C2/m, No. 12
- density of states at the Fermi level (states/eV per cell) = 4.15
- calculated formation energy (eV per atom) = -0.1209

abc: 4.716 4.716 5.836
angles: 108.11 108.11 36.15
Fractional positions:
V  0.000  0.000  0.000
Ga  0.000  0.000  0.500
Fe  0.328  0.328  0.671
Fe  0.332  0.332  0.158
Fe  0.668  0.668  0.842
Fe  0.672  0.672  0.329

---

[2]
The following is a GGA-PBE calculation of a relaxed CaLa2Tc crystal, from the Alexandria database.

Properties
- total magnetization (μB/cell) = 0.0
- distance to the lowest polymorph of the same formula (meV per atom) = 5
- E_tot (eV/atom) = -5.481
- SG = P2/m, No. 10
- density of states at the Fermi level (states/eV per cell) = 5.22
- calculated formation energy (eV per atom) = 0.0743

abc: 3.576 3.577 9.942
angles: 90.00 90.18 90.00
Fractional positions:
Ca  0.000  0.000  0.000
La  0.499  0.500  0.674
La  0.501  0.500  0.326
Tc  0.000  0.000  0.500